<one>
# CaIrPt2

A relaxed CaIrPt2 crystal (GGA-PBEsol, Alexandria).

Unit cell a=2.8177 b=4.9322 c=5.0033 alpha=99.59 beta=90.00 gamma=106.60
Closest atoms and distances in Å follow each position.
Fractional coordinates of all 4 atoms:
Pt 0.7602 0.5205 0.7729  4 Pt 2.71-2.82, 3 Ir 2.74-2.88, 3 Ca 2.84-2.96
Pt 0.2398 0.4795 0.2271  4 Pt 2.71-2.82, 3 Ir 2.74-2.88, 3 Ca 2.84-2.96
Ca 0.0000 0.0000 0.5000  2 Ca 2.82, 6 Pt 2.84-2.96, 4 Ir 2.87
Ir 0.5000 0.0000 0.0000  6 Pt 2.74-2.88, 2 Ir 2.82, 4 Ca 2.87

## Properties
Space group: C2/m

<two>
# CaIrPt2

A relaxed CaIrPt2 crystal (GGA-PBEsol, Alexandria).

Unit cell a=2.8531 b=2.8531 c=9.3975 alpha=81.27 beta=81.27 gamma=60.00
Closest atoms and distances in Å follow each position.
Fractional coordinates of all 4 atoms:
Ir 0.0000 0.0000 0.0000  6 Pt 2.75, 6 Ir 2.85
Pt 0.7462 0.7462 0.7613  3 Ir 2.75, 6 Pt 2.85, 3 Ca 2.93
Pt 0.2538 0.2538 0.2387  3 Ir 2.75, 6 Pt 2.85, 3 Ca 2.93
Ca 0.5000 0.5000 0.5000  6 Ca 2.85, 6 Pt 2.93

## Properties
Space group: R-3m

Ordering by calculated energy gives the sequence <one>, <two>, with the first entry being the most stable.

<one>
# CaIrPt2

A relaxed CaIrPt2 crystal (GGA-PBEsol, Alexandria).

Unit cell a=4.0284 b=4.0284 c=4.9202 alpha=114.17 beta=114.17 gamma=90.00
Closest atoms and distances in Å follow each position.
Fractional coordinates of all 4 atoms:
Ca 0.5000 0.5000 0.0000  8 Pt 2.84, 4 Ir 2.85
Pt 0.7500 0.2500 0.5000  4 Ir 2.84, 4 Ca 2.84, 4 Pt 2.85
Pt 0.2500 0.7500 0.5000  4 Ir 2.84, 4 Ca 2.84, 4 Pt 2.85
Ir 0.0000 0.0000 0.0000  8 Pt 2.84, 4 Ca 2.85

## Properties
Space group: I4/mmm

<two>
# CaIrPt2

A relaxed CaIrPt2 crystal (GGA-PBEsol, Alexandria).

Unit cell a=4.5554 b=4.5554 c=4.5554 alpha=60.00 beta=60.00 gamma=60.00
Closest atoms and distances in Å follow each position.
Fractional coordinates of all 4 atoms:
Pt 0.7500 0.7500 0.7500  4 Ca 2.79, 4 Ir 2.79
Pt 0.2500 0.2500 0.2500  4 Ca 2.79, 4 Ir 2.79
Ir 0.5000 0.5000 0.5000  8 Pt 2.79
Ca 0.0000 0.0000 0.0000  8 Pt 2.79

## Properties
Space group: Fm-3m

Ordering by calculated energy gives the sequence <one>, <two>, with the first entry being the most stable.

<one>
# CaIr2Rh

A relaxed CaIr2Rh crystal (GGA-PBEsol, Alexandria).

Unit cell a=2.7769 b=4.8424 c=5.0399 alpha=99.65 beta=90.00 gamma=106.66
Closest atoms and distances in Å follow each position.
Fractional coordinates of all 4 atoms:
Ir 0.2496 0.4992 0.7786  5 Ir 2.63-2.78, 2 Rh 2.75, 4 Ca 2.83-2.93
Ir 0.9892 0.9783 0.9394  2 Rh 2.59, 5 Ir 2.63-2.78
Ca 0.7505 0.5010 0.2671  3 Rh 2.73-2.87, 2 Ca 2.78, 7 Ir 2.83-3.02
Rh 0.5108 0.0216 0.5150  4 Ir 2.59-2.75, 3 Ca 2.73-2.87, 2 Rh 2.78

## Properties
Space group: Cm

<two>
# CaIr2Rh

A relaxed CaIr2Rh crystal (GGA-PBEsol, Alexandria).

Unit cell a=2.7554 b=3.8976 c=6.0501 alpha=90.00 beta=90.00 gamma=90.00
Closest atoms and distances in Å follow each position.
Fractional coordinates of all 4 atoms:
Ir 0.5000 0.5000 0.2358  6 Ir 2.64-2.76, 4 Rh 2.78
Ir 0.0000 0.0000 0.0488  1 Rh 2.55, 6 Ir 2.64-2.76
Ca 0.5000 0.5000 0.7445  2 Ca 2.76, 4 Rh 2.90, 6 Ir 2.97-3.08
Rh 0.0000 0.0000 0.4709  5 Ir 2.55-2.78, 2 Rh 2.76

## Properties
Space group: Pmm2

Ordering by calculated energy gives the sequence <one>, <two>, with the first entry being the most stable.

<one>
# CaIrRu2

A relaxed CaIrRu2 crystal (GGA-PBEsol, Alexandria).

Unit cell a=2.7766 b=4.5543 c=5.1001 alpha=90.00 beta=99.06 gamma=90.00
Closest atoms and distances in Å follow each position.
Fractional coordinates of all 4 atoms:
Ru 0.1889 0.0000 0.2831  4 Ru 2.58-2.78, 2 Ir 2.62
Ru 0.8111 0.0000 0.7169  4 Ru 2.58-2.78, 2 Ir 2.62
Ca 0.5000 0.5000 0.0000  2 Ir 2.70, 2 Ca 2.78, 4 Ru 2.90
Ir 0.0000 0.5000 0.5000  4 Ru 2.62, 2 Ca 2.70, 2 Ir 2.78

## Properties
Space group: P2/m

<two>
# CaIrRu2

A relaxed CaIrRu2 crystal (GGA-PBEsol, Alexandria).

Unit cell a=2.7908 b=2.7908 c=8.1213 alpha=90.00 beta=90.00 gamma=90.00
Closest atoms and distances in Å follow each position.
Fractional coordinates of all 4 atoms:
Ir 0.5000 0.5000 0.7850  4 Ru 2.65, 4 Ir 2.79
Ca 0.0000 0.0000 0.5014  4 Ca 2.79, 4 Ir 3.03, 4 Ru 3.08
Ru 0.5000 0.5000 0.2100  8 Ru 2.59-2.79
Ru 0.0000 0.0000 0.0037  8 Ru 2.59-2.79, 4 Ir 2.65

## Properties
Space group: P4mm

Ordering by calculated energy gives the sequence <two>, <one>, with the first entry being the most stable.